(1)
This record from the Alexandria database describes Rb2TlVRh after structural relaxation. The functional is PBE.

**Theoretical density**: 4.3 Mg/m³
**Uncorrected energy**: -2.826 eV per atom
**ΔH_f (0 K)**: 128 kJ per mole of atoms

Lattice parameters (Å, degrees): 6.2093 5.2943 6.2093 90.00 90.00 90.00
Fractional positions:
Rh1 0.0000 0.0000 0.0000
Rb1 0.5000 0.0000 0.0000
Tl1 0.0000 0.5000 0.0000
V1 0.5000 0.5000 0.5000
Rb2 0.0000 0.0000 0.5000


(2)
This record from the Alexandria database describes Ac2NdTl after structural relaxation. The functional is PBE.

**Theoretical density**: 9.2 Mg/m³
**Uncorrected energy**: -3.968 eV per atom
**ΔH_f (0 K)**: -13 kJ per mole of atoms

Lattice parameters (Å, degrees): 5.1563 5.2867 5.2867 90.00 90.00 90.00
Fractional positions:
Tl1 0.5000 0.5000 0.5000
Ac1 0.0000 0.0000 0.5000
Ac2 0.0000 0.5000 0.0000
Nd1 0.5000 0.0000 0.0000


(3)
This record from the Alexandria database describes TbErThMg after structural relaxation. The functional is PBE.

**Theoretical density**: 8.2 Mg/m³
**Uncorrected energy**: -4.455 eV per atom
**ΔH_f (0 K)**: 9 kJ per mole of atoms

Lattice parameters (Å, degrees): 5.5158 5.5158 5.5158 60.00 60.00 60.00
Fractional positions:
Th1 0.7500 0.7500 0.7500
Mg1 0.0000 0.0000 0.0000
Tb1 0.2500 0.2500 0.2500
Er1 0.5000 0.5000 0.5000


(4)
This record from the Alexandria database describes TmHfNb4 after structural relaxation. The functional is PBE.

**Theoretical density**: 9.6 Mg/m³
**Uncorrected energy**: -8.997 eV per atom
**ΔH_f (0 K)**: 12 kJ per mole of atoms

Lattice parameters (Å, degrees): 5.6121 5.6121 5.6121 60.00 60.00 60.00
Fractional positions:
Tm1 0.2500 0.2500 0.2500
Nb1 0.6251 0.6251 0.1248
Hf1 0.0000 0.0000 0.0000
Nb2 0.6251 0.1248 0.6251
Nb3 0.1248 0.6251 0.6251
Nb4 0.6251 0.6251 0.6251


(5)
This record from the Alexandria database describes LaAg2Pt after structural relaxation. The functional is PBE.

**Theoretical density**: 10.6 Mg/m³
**Uncorrected energy**: -4.463 eV per atom
**ΔH_f (0 K)**: -29 kJ per mole of atoms

Lattice parameters (Å, degrees): 4.9596 4.9596 4.9596 60.00 60.00 60.00
Fractional positions:
Ag1 0.2500 0.2500 0.2500
Ag2 0.7500 0.7500 0.7500
Pt1 0.5000 0.5000 0.5000
La1 0.0000 0.0000 0.0000


(6)
This record from the Alexandria database describes Ag4IrW after structural relaxation. The functional is PBE.

**Theoretical density**: 13.2 Mg/m³
**Uncorrected energy**: -4.658 eV per atom
**ΔH_f (0 K)**: 85 kJ per mole of atoms

Lattice parameters (Å, degrees): 5.2432 5.2432 5.2432 60.00 60.00 60.00
Fractional positions:
Ag1 0.1251 0.6250 0.6250
W1 0.0000 0.0000 0.0000
Ag2 0.6250 0.1251 0.6250
Ir1 0.2500 0.2500 0.2500
Ag3 0.6250 0.6250 0.6250
Ag4 0.6250 0.6250 0.1251


(7)
This record from the Alexandria database describes AgBi2O4 after structural relaxation. The functional is PBE.

**Theoretical density**: 7.6 Mg/m³
**Uncorrected energy**: -5.132 eV per atom
**Energy relative to the elements, uncorrected**: -5.5 eV/f.u.

Lattice parameters (Å, degrees): 7.2375 7.0818 7.2377 121.47 119.26 90.03
Fractional positions:
O1 0.8141 0.0988 0.6800
Bi1 0.6543 0.3630 0.2618
O2 0.9133 0.5782 0.7908
Bi2 0.1488 0.3870 0.7913
Bi3 0.6269 0.3750 0.7520
O3 0.8367 0.1054 0.2556
O4 0.4485 0.1259 0.2645
Ag1 0.8892 0.9393 0.9010
O5 0.8311 0.6511 0.2153
O6 0.4003 0.6447 0.2314
Ag2 0.2118 0.8108 0.4499
Bi4 0.6238 0.8750 0.2488
O7 0.3886 0.6241 0.8226
O8 0.4625 0.1718 0.8351


(8)
This record from the Alexandria database describes Li2Tl2Pd after structural relaxation. The functional is PBE.

**Theoretical density**: 9.1 Mg/m³
**Uncorrected energy**: -2.898 eV per atom
**ΔH_f (0 K)**: -14 kJ per mole of atoms

Lattice parameters (Å, degrees): 6.6059 6.6059 4.4331 90.00 90.00 90.00
Fractional positions:
Pd1 0.0000 0.0000 0.0000
Tl1 0.3204 0.1796 0.5000
Li1 0.6412 0.1412 0.0000
Li2 0.1412 0.3588 0.0000
Tl2 0.1796 0.6796 0.5000
Tl3 0.8204 0.3204 0.5000
Pd2 0.5000 0.5000 0.0000
Li3 0.8588 0.6412 0.0000
Li4 0.3588 0.8588 0.0000
Tl4 0.6796 0.8204 0.5000


(9)
This record from the Alexandria database describes Ca2CeSn3 after structural relaxation. The functional is PBE.

**Theoretical density**: 5.7 Mg/m³
**Uncorrected energy**: -4.254 eV per atom
**ΔH_f (0 K)**: -58 kJ per mole of atoms

Lattice parameters (Å, degrees): 7.9048 7.9048 9.0493 90.00 90.00 143.25
Fractional positions:
Ca1 0.0000 0.0000 0.0000
Sn1 0.1664 0.8336 0.7500
Sn2 0.5000 0.5000 0.2484
Ce1 0.3322 0.6678 0.0000
Sn3 0.1664 0.8336 0.2500
Ce2 0.6678 0.3322 0.0000
Ca2 0.6652 0.3348 0.5000
Sn4 0.8336 0.1664 0.2500
Sn5 0.5000 0.5000 0.7516
Ca3 0.0000 0.0000 0.5000
Ca4 0.3348 0.6652 0.5000
Sn6 0.8336 0.1664 0.7500


(10)
This record from the Alexandria database describes SrZnGe2Pd5 after structural relaxation. The functional is PBE.

**Theoretical density**: 8.1 Mg/m³
**Uncorrected energy**: -4.625 eV per atom
**ΔH_f (0 K)**: -37 kJ per mole of atoms

Lattice parameters (Å, degrees): 4.8307 4.8307 7.2997 90.00 90.00 90.00
Fractional positions:
Pd1 0.5000 0.0000 0.8001
Pd2 0.0000 0.5000 0.1999
Ge1 0.5000 0.5000 0.8330
Ge2 0.5000 0.5000 0.1670
Sr1 0.0000 0.0000 0.5000
Pd3 0.5000 0.0000 0.1999
Pd4 0.0000 0.5000 0.8001
Zn1 0.0000 0.0000 0.0000
Pd5 0.5000 0.5000 0.5000


(11)
This record from the Alexandria database describes LiMg14Ti after structural relaxation. The functional is PBE.

**Theoretical density**: 1.9 Mg/m³
**Uncorrected energy**: -1.979 eV per atom
**ΔH_f (0 K)**: 3 kJ per mole of atoms

Lattice parameters (Å, degrees): 6.3526 6.3526 10.1101 90.00 90.00 120.00
Fractional positions:
Mg1 0.6667 0.3333 0.7540
Mg2 0.6667 0.3333 0.2460
Mg3 0.1620 0.3240 0.2456
Mg4 0.1620 0.8380 0.7544
Mg5 0.6760 0.8380 0.7544
Mg6 0.1620 0.8380 0.2456
Ti1 0.0000 0.0000 0.0000
Li1 0.0000 0.0000 0.5000
Mg7 0.4996 0.9992 0.5000
Mg8 0.6760 0.8380 0.2456
Mg9 0.0038 0.5019 0.0000
Mg10 0.4981 0.5019 0.0000
Mg11 0.1620 0.3240 0.7544
Mg12 0.4981 0.9962 0.0000
Mg13 0.4996 0.5004 0.5000
Mg14 0.0008 0.5004 0.5000


(12)
This record from the Alexandria database describes ScMoSe2 after structural relaxation. The functional is PBE.

**Theoretical density**: 6.4 Mg/m³
**Uncorrected energy**: -6.495 eV per atom
**Energy relative to the elements, uncorrected**: -1.8 eV/f.u.

Lattice parameters (Å, degrees): 5.9589 5.9589 5.9589 148.05 135.83 55.55
Fractional positions:
Mo1 0.5379 0.5379 0.0000
Se1 0.7255 0.2255 0.5000
Sc1 0.2257 0.7257 0.5000
Se2 0.0109 0.0109 0.0000


Among the records above, which one has the lowest theoretical density?
LiMg14Ti


Among the records above, which one has the lowest uncorrected energy?
TmHfNb4


Look up the uncorrected energy of the fourth one.
-8.997 eV per atom